DFT (PBE+U) results for a relaxed structure of NiBiSeO5.

## Properties
The value obtained for the calculated total energy is -5.030 eV/atom. For the total moment, the calculation gives 2.46 μB per formula unit.

a b c (Å): 6.287 6.287 7.572
angles (deg): 98.86 98.86 114.83
Positions (direct):
Ni 0.003 0.997 0.750
Ni 0.997 0.003 0.250
Bi 0.000 0.500 0.500
Bi 0.500 0.000 0.000
Se 0.479 0.521 0.250
Se 0.521 0.479 0.750
O 0.146 0.262 0.648
O 0.183 0.817 0.750
O 0.262 0.146 0.148
O 0.370 0.620 0.422
O 0.380 0.630 0.078
O 0.620 0.370 0.922
O 0.630 0.380 0.578
O 0.738 0.854 0.852
O 0.817 0.183 0.250
O 0.854 0.738 0.352


DFT (PBE+U) results for a relaxed structure of Sm2NiBiO6.

## Properties
The value obtained for the calculated total energy is -6.745 eV/atom. For the total moment, the calculation gives 1.17 μB per formula unit.

a b c (Å): 5.607 5.906 9.829
angles (deg): 90.00 122.69 90.00
Positions (direct):
Sm 0.218 0.066 0.246
Sm 0.218 0.434 0.746
Sm 0.782 0.566 0.254
Sm 0.782 0.934 0.754
Ni 0.000 0.000 0.500
Ni 0.000 0.500 0.000
Bi 0.500 0.000 0.000
Bi 0.500 0.500 0.500
O 0.113 0.205 0.931
O 0.113 0.295 0.431
O 0.221 0.690 0.927
O 0.221 0.810 0.427
O 0.378 0.059 0.741
O 0.378 0.441 0.241
O 0.622 0.559 0.759
O 0.622 0.941 0.259
O 0.779 0.190 0.573
O 0.779 0.310 0.073
O 0.887 0.705 0.569
O 0.887 0.795 0.069


What did the first record say?
DFT (PBE+U) results for a relaxed structure of NiBiSeO5.

## Properties
The value obtained for the calculated total energy is -5.030 eV/atom. For the total moment, the calculation gives 2.46 μB per formula unit.

a b c (Å): 6.287 6.287 7.572
angles (deg): 98.86 98.86 114.83
Positions (direct):
Ni 0.003 0.997 0.750
Ni 0.997 0.003 0.250
Bi 0.000 0.500 0.500
Bi 0.500 0.000 0.000
Se 0.479 0.521 0.250
Se 0.521 0.479 0.750
O 0.146 0.262 0.648
O 0.183 0.817 0.750
O 0.262 0.146 0.148
O 0.370 0.620 0.422
O 0.380 0.630 0.078
O 0.620 0.370 0.922
O 0.630 0.380 0.578
O 0.738 0.854 0.852
O 0.817 0.183 0.250
O 0.854 0.738 0.352


Look up the total moment of the first one.
2.46 μB per formula unit


Which of these has the lowest total moment?
Sm2NiBiO6